No. 1
Entry from the Alexandria database: a relaxed structure of Cs3TiP (PBE-GGA).

The structure in POSCAR format:
```
Cs3TiP
1.0
6.935 0.000 0.000
0.000 6.935 0.000
0.000 0.000 6.935
Cs Ti P
3 1 1
Direct
0.000 0.000 0.500
0.000 0.500 0.000
0.500 0.000 0.000
0.500 0.500 0.500
0.000 0.000 0.000
```

Properties
Energy above the lowest structure with this stoichiometry (meV/atom): 0.0
VASP energy (eV/atom): -2.3937
Fermi-level density of states (states/eV/cell): 8.4
Size of the total moment (μB per atom): 0.40
Density (g/cm³): 2.377
SG: Pm-3m (221)

No. 2
Entry from the Alexandria database: a relaxed structure of BO2F2 (PBE-GGA).

The structure in POSCAR format:
```
BO2F2
1.0
3.400 0.000 0.000
0.000 3.400 0.000
0.000 0.000 3.287
B O F
1 2 2
Direct
0.000 0.000 0.000
0.000 0.500 0.000
0.500 0.000 0.000
0.000 0.000 0.500
0.500 0.500 0.500
```

Properties
Energy above the lowest structure with this stoichiometry (meV/atom): 0.0
VASP energy (eV/atom): -4.2890
Formation energy without anion corrections (eV/atom): -0.222
Fermi-level density of states (states/eV/cell): 1.7
Size of the total moment (μB per atom): 0.60
Density (g/cm³): 3.532
SG: P4/mmm (123)

No. 3
Entry from the Alexandria database: a relaxed structure of RhF (PBE-GGA).

The structure in POSCAR format:
```
RhF
1.0
9.611 0.000 0.000
0.000 9.611 0.000
0.000 0.000 2.769
Rh F
8 8
Direct
0.124 0.840 0.000
0.160 0.124 0.000
0.242 0.653 0.500
0.347 0.242 0.500
0.653 0.758 0.500
0.758 0.347 0.500
0.840 0.876 0.000
0.876 0.160 0.000
0.039 0.295 0.000
0.277 0.443 0.500
0.295 0.961 0.000
0.443 0.723 0.500
0.557 0.277 0.500
0.705 0.039 0.000
0.723 0.557 0.500
0.961 0.705 0.000
```

Properties
Energy above the lowest structure with this stoichiometry (meV/atom): 158.7
VASP energy (eV/atom): -5.1091
Formation energy without anion corrections (eV/atom): -0.498
Fermi-level density of states (states/eV/cell): 17.7
Size of the total moment (μB per atom): 0.00
Density (g/cm³): 6.333
SG: P4/m (83)

No. 4
Entry from the Alexandria database: a relaxed structure of LiPmRu2O8 (PBE-GGA).

The structure in POSCAR format:
```
LiPmRu2O8
1.0
-2.617 2.617 5.740
2.617 -2.617 5.740
2.617 2.617 -5.740
Li Pm Ru O
1 1 2 8
Direct
0.000 0.000 0.000
0.250 0.750 0.500
0.500 0.500 0.000
0.750 0.250 0.500
0.262 0.662 0.093
0.338 0.431 0.600
0.417 0.014 0.097
0.569 0.169 0.907
0.681 0.583 0.598
0.831 0.738 0.400
0.917 0.319 0.903
0.986 0.083 0.402
```

Properties
VASP energy (eV/atom): -6.8450
Formation energy without anion corrections (eV/atom): -1.438
Fermi-level density of states (states/eV/cell): 4.8
Size of the total moment (μB per atom): 0.31
Density (g/cm³): 5.093
SG: I-4 (82)

No. 5
Entry from the Alexandria database: a relaxed structure of Pb3AuF (PBE-GGA).

The structure in POSCAR format:
```
Pb3AuF
1.0
5.067 0.000 0.000
0.000 5.067 0.000
0.000 0.000 5.067
Pb Au F
3 1 1
Direct
0.000 0.000 0.500
0.000 0.500 0.000
0.500 0.000 0.000
0.500 0.500 0.500
0.000 0.000 0.000
```

Properties
Energy above the lowest structure with this stoichiometry (meV/atom): 0.0
VASP energy (eV/atom): -3.6155
Formation energy without anion corrections (eV/atom): -0.361
Fermi-level density of states (states/eV/cell): 2.9
Size of the total moment (μB per atom): 0.00
Density (g/cm³): 10.688
SG: Pm-3m (221)

No. 6
Entry from the Alexandria database: a relaxed structure of SrZr2Mn (PBE-GGA).

The structure in POSCAR format:
```
SrZr2Mn
1.0
3.619 0.000 0.000
0.000 5.080 0.000
0.000 0.000 5.405
Sr Zr Mn
1 2 1
Direct
0.000 0.000 0.000
0.000 0.500 0.500
0.500 0.000 0.500
0.500 0.500 0.000
```

Properties
Energy above the lowest structure with this stoichiometry (meV/atom): 313.9
VASP energy (eV/atom): -6.3597
Fermi-level density of states (states/eV/cell): 4.9
Size of the total moment (μB per atom): 0.48
Density (g/cm³): 5.432
SG: Pmmm (47)

No. 7
Entry from the Alexandria database: a relaxed structure of K2NaCa2 (PBE-GGA).

The structure in POSCAR format:
```
K2NaCa2
1.0
5.067 0.000 0.000
0.000 5.067 0.000
0.000 0.000 22.439
K Na Ca
4 2 4
Direct
0.000 0.000 0.097
0.000 0.000 0.903
0.500 0.500 0.403
0.500 0.500 0.597
0.000 0.000 0.500
0.500 0.500 0.000
0.000 0.500 0.250
0.000 0.500 0.750
0.500 0.000 0.250
0.500 0.000 0.750
```

Properties
Energy above the lowest structure with this stoichiometry (meV/atom): 0.0
VASP energy (eV/atom): -1.2587
Fermi-level density of states (states/eV/cell): 10.0
Size of the total moment (μB per atom): 0.07
Density (g/cm³): 1.045
SG: I4/mmm (139)

No. 8
Entry from the Alexandria database: a relaxed structure of Ca6Ge7Au15 (PBE-GGA).

The structure in POSCAR format:
```
Ca6Ge7Au15
1.0
9.647 0.000 0.000
0.000 4.517 0.000
-0.172 0.000 13.382
Ca Ge Au
6 7 15
Direct
0.000 0.000 0.000
0.001 0.000 0.375
0.013 0.000 0.689
0.495 0.500 0.872
0.498 0.500 0.188
0.502 0.500 0.498
0.150 0.500 0.498
0.225 0.500 0.309
0.346 0.000 0.005
0.651 0.000 0.374
0.739 0.000 0.564
0.770 0.500 0.067
0.851 0.500 0.873
0.111 0.500 0.844
0.201 0.000 0.184
0.238 0.500 0.050
0.260 0.000 0.544
0.288 0.000 0.815
0.297 0.500 0.680
0.391 0.000 0.346
0.508 0.000 0.675
0.608 0.000 0.026
0.704 0.500 0.692
0.741 0.000 0.829
0.758 0.500 0.328
0.797 0.000 0.191
0.890 0.500 0.529
0.998 0.500 0.188
```

Properties
VASP energy (eV/atom): -3.8478
Fermi-level density of states (states/eV/cell): 9.8
Size of the total moment (μB per atom): 0.00
Density (g/cm³): 10.545
SG: Pm (6)